Record 1
Cs3ZrCl6: relaxed, PBE.

## Properties
Formation energy (no corrections) in eV per atom: -1.88
DFT total energy in eV/atom: -4.101

Cell: 8.359 7.935 7.935 Å, 60.77 62.48 62.48°
Positions (direct):
Cs  0.278  0.238  0.238
Cs  0.722  0.762  0.762
Cs  0.000  0.000  0.000
Zr  0.500  0.500  0.500
Cl  0.349  0.214  0.667
Cl  0.651  0.333  0.786
Cl  0.651  0.786  0.333
Cl  0.349  0.667  0.214
Cl  0.200  0.705  0.705
Cl  0.800  0.295  0.295



Record 2
CsZrCl2: relaxed, PBE.

## Properties
Formation energy (no corrections) in eV per atom: -0.81
DFT total energy in eV/atom: -4.086

Cell: 6.242 6.242 8.972 Å, 69.64 69.64 90.00°
Positions (direct):
Cs  0.000  0.000  0.000
Cs  0.750  0.250  0.500
Zr  0.500  0.500  0.000
Zr  0.250  0.750  0.500
Cl  0.484  0.125  0.250
Cl  0.266  0.625  0.250
Cl  0.375  0.516  0.750
Cl  0.875  0.734  0.750



Record 3
Cs3ZrCl: relaxed, PBE.

## Properties
Formation energy (no corrections) in eV per atom: 0.08
DFT total energy in eV/atom: -2.515
Excess energy over the best structure of this formula in the dataset in eV/atom: 0.000

Cell: 6.734 6.734 6.734 Å, 90.00 90.00 90.00°
Positions (direct):
Cs  0.000  0.500  0.000
Cs  0.000  0.000  0.500
Cs  0.500  0.000  0.000
Zr  0.500  0.500  0.500
Cl  0.000  0.000  0.000



Record 4
CsZr2Cl2: relaxed, PBE.

## Properties
Formation energy (no corrections) in eV per atom: -0.67
DFT total energy in eV/atom: -5.003
Excess energy over the best structure of this formula in the dataset in eV/atom: 0.000

Cell: 4.185 4.185 8.453 Å, 75.67 75.67 90.00°
Positions (direct):
Cs  0.000  0.000  0.000
Zr  0.750  0.250  0.500
Zr  0.250  0.750  0.500
Cl  0.367  0.367  0.265
Cl  0.633  0.633  0.735



Record 5
Cs2ZrCl: relaxed, PBE.

## Properties
Formation energy (no corrections) in eV per atom: 0.36
DFT total energy in eV/atom: -2.666
Excess energy over the best structure of this formula in the dataset in eV/atom: 0.331

Cell: 6.708 6.708 6.708 Å, 60.00 60.00 60.00°
Positions (direct):
Cs  0.250  0.250  0.250
Cs  0.750  0.750  0.750
Zr  0.500  0.500  0.500
Cl  0.000  0.000  0.000



Record 6
CsZrCl6: relaxed, PBE.

## Properties
Formation energy (no corrections) in eV per atom: -1.55
DFT total energy in eV/atom: -4.113

Cell: 7.101 7.101 7.651 Å, 62.35 62.35 60.00°
Positions (direct):
Cs  0.500  0.500  0.500
Zr  0.000  0.000  0.000
Cl  0.910  0.910  0.777
Cl  0.403  0.910  0.777
Cl  0.090  0.597  0.223
Cl  0.597  0.090  0.223
Cl  0.090  0.090  0.223
Cl  0.910  0.403  0.777



Record 7
Cs3ZrCl8: relaxed, PBE.

## Properties
Formation energy (no corrections) in eV per atom: -1.67
DFT total energy in eV/atom: -3.827

Cell: 8.575 8.398 8.575 Å, 59.30 90.00 120.70°
Positions (direct):
Cs  0.750  0.500  0.750
Cs  0.250  0.500  0.250
Cs  0.500  0.000  0.500
Zr  0.000  0.000  0.000
Cl  0.315  0.389  0.927
Cl  0.073  0.389  0.685
Cl  0.685  0.611  0.315
Cl  0.927  0.611  0.073
Cl  0.739  0.891  0.848
Cl  0.152  0.891  0.261
Cl  0.261  0.109  0.739
Cl  0.848  0.109  0.152



Record 8
Cs2Zr3Cl9: relaxed, PBE.

## Properties
Formation energy (no corrections) in eV per atom: -1.78
DFT total energy in eV/atom: -4.919

Cell: 10.342 10.791 10.791 Å, 118.39 102.95 102.95°
Positions (direct):
Cs  0.188  0.552  0.231
Cs  0.812  0.769  0.448
Cs  0.812  0.448  0.769
Cs  0.188  0.231  0.552
Zr  0.364  0.122  0.122
Zr  0.636  0.878  0.878
Zr  0.648  0.048  0.230
Zr  0.352  0.770  0.952
Zr  0.352  0.952  0.770
Zr  0.648  0.230  0.048
Cl  0.500  0.199  0.801
Cl  0.180  0.511  0.890
Cl  0.180  0.890  0.511
Cl  0.820  0.489  0.110
Cl  0.782  0.741  0.741
Cl  0.218  0.259  0.259
Cl  0.516  0.388  0.191
Cl  0.484  0.809  0.612
Cl  0.484  0.612  0.809
Cl  0.516  0.191  0.388
Cl  0.178  0.692  0.692
Cl  0.811  0.923  0.119
Cl  0.811  0.119  0.923
Cl  0.189  0.077  0.881
Cl  0.189  0.881  0.077
Cl  0.500  0.801  0.199
Cl  0.822  0.308  0.308
Cl  0.820  0.110  0.489



Record 9
Cs2ZrCl: relaxed, PBE.

## Properties
Formation energy (no corrections) in eV per atom: 0.03
DFT total energy in eV/atom: -2.997
Excess energy over the best structure of this formula in the dataset in eV/atom: 0.000

Cell: 9.995 9.995 9.995 Å, 93.66 93.66 150.72°
Positions (direct):
Cs  0.625  0.295  0.170
Cs  0.125  0.455  0.830
Cs  0.705  0.875  0.330
Cs  0.545  0.375  0.670
Zr  0.000  0.000  0.000
Zr  0.250  0.750  0.500
Cl  0.500  0.500  0.000
Cl  0.750  0.250  0.500



Record 10
Cs2ZrCl7: relaxed, PBE.

## Properties
Formation energy (no corrections) in eV per atom: -1.63
DFT total energy in eV/atom: -3.945

Cell: 8.047 8.047 8.047 Å, 60.00 60.00 60.00°
Positions (direct):
Cs  0.250  0.250  0.250
Cs  0.750  0.750  0.750
Zr  0.000  0.000  0.000
Cl  0.500  0.500  0.500
Cl  0.219  0.781  0.781
Cl  0.219  0.781  0.219
Cl  0.781  0.219  0.781
Cl  0.781  0.781  0.219
Cl  0.219  0.219  0.781
Cl  0.781  0.219  0.219



Record 11
Cu3Cl: relaxed, PBE.

## Properties
Formation energy (no corrections) in eV per atom: 0.33
DFT total energy in eV/atom: -3.207
Excess energy over the best structure of this formula in the dataset in eV/atom: 0.311

Cell: 3.831 3.831 3.831 Å, 90.00 90.00 90.00°
Positions (direct):
Cu  0.000  0.500  0.500
Cu  0.500  0.000  0.500
Cu  0.500  0.500  0.000
Cl  0.000  0.000  0.000



Record 12
CuCl: relaxed, PBE.

## Properties
Formation energy (no corrections) in eV per atom: -0.38
DFT total energy in eV/atom: -3.352

Cell: 3.826 3.825 3.825 Å, 90.10 119.95 119.95°
Positions (direct):
Cu  0.500  0.250  0.750
Cl  0.000  0.000  0.000